{"formula": "KTaIr2I", "functional": "PBE", "state": "optimized geometry", "e_form_raw_ev_per_atom": 2.888, "e_tot_ev_per_atom": -3.56, "magmom_total_mub_per_fu": 0.000, "cell": [[4.6879, 0.0000, 0.0000], [0.0000, 5.3783, 0.0000], [0.0000, 0.0000, 4.6879]], "species": ["Ir", "Ir", "Ta", "I", "K"], "fractional_positions": [[0.5000, 0.0000, 0.0000], [0.0000, 0.0000, 0.5000], [0.5000, 0.5000, 0.5000], [0.0000, 0.5000, 0.0000], [0.0000, 0.0000, 0.0000]]}